! LaDy2Ga3 | Alexandria | PBE-GGA | relaxed; values from VASP
! Formation enthalpy at 0 K in eV/atom: -0.5836
! Final energy in eV per cell: -26.71
! Magnetic moment in μB/cell: 0.00
&SYSTEM
  ibrav = 0, nat = 6, ntyp = 3
/
ATOMIC_SPECIES
La 138.91 La.upf
Dy 162.50 Dy.upf
Ga 69.72 Ga.upf
CELL_PARAMETERS angstrom
3.6154 0.0000 0.0000
0.0000 3.6154 0.0000
0.0000 0.0000 11.0264
ATOMIC_POSITIONS crystal
La 0.0000 0.0000 0.0000
Dy 0.0000 0.0000 0.3400
Dy 0.0000 0.0000 0.6600
Ga 0.5000 0.5000 0.1844
Ga 0.5000 0.5000 0.5000
Ga 0.5000 0.5000 0.8156



! LaDyGa4 | Alexandria | PBE-GGA | relaxed; values from VASP
! Formation enthalpy at 0 K in eV/atom: -0.5483
! Distance to the lowest polymorph of the same formula in eV/atom: 0.109
! Final energy in eV per cell: -24.93
! Magnetic moment in μB/cell: 0.00
&SYSTEM
  ibrav = 0, nat = 6, ntyp = 3
/
ATOMIC_SPECIES
La 138.91 La.upf
Dy 162.50 Dy.upf
Ga 69.72 Ga.upf
CELL_PARAMETERS angstrom
0.0000 3.9735 3.9735
3.9735 0.0000 3.9735
3.9735 3.9735 0.0000
ATOMIC_POSITIONS crystal
La 0.0000 0.0000 0.0000
Dy 0.7500 0.7500 0.7500
Ga 0.3750 0.3750 0.3750
Ga 0.3750 0.3750 0.8750
Ga 0.3750 0.8750 0.3750
Ga 0.8750 0.3750 0.3750



! La5DyGa6 | Alexandria | PBE-GGA | relaxed; values from VASP
! Formation enthalpy at 0 K in eV/atom: -0.5672
! Final energy in eV per cell: -54.21
! Magnetic moment in μB/cell: 0.00
&SYSTEM
  ibrav = 0, nat = 12, ntyp = 3
/
ATOMIC_SPECIES
La 138.91 La.upf
Dy 162.50 Dy.upf
Ga 69.72 Ga.upf
CELL_PARAMETERS angstrom
5.2772 0.0000 0.0000
0.0000 7.4680 0.0000
-2.6180 0.0000 7.9577
ATOMIC_POSITIONS crystal
La 0.0000 0.0000 0.0000
La 0.3280 0.0000 0.6559
La 0.3340 0.5000 0.6680
La 0.6660 0.5000 0.3320
La 0.6720 0.0000 0.3441
Dy 0.0000 0.5000 0.0000
Ga 0.1608 0.2589 0.3215
Ga 0.1608 0.7411 0.3215
Ga 0.5000 0.2565 0.0000
Ga 0.5000 0.7435 0.0000
Ga 0.8392 0.2589 0.6785
Ga 0.8392 0.7411 0.6785



! LaDy4Ga4 | Alexandria | PBE-GGA | relaxed; values from VASP
! Formation enthalpy at 0 K in eV/atom: -0.3088
! Final energy in eV per cell: -76.45
! Magnetic moment in μB/cell: 0.00
&SYSTEM
  ibrav = 0, nat = 18, ntyp = 3
/
ATOMIC_SPECIES
La 138.91 La.upf
Dy 162.50 Dy.upf
Ga 69.72 Ga.upf
CELL_PARAMETERS angstrom
9.0569 0.0000 0.0000
0.0000 9.0569 0.0000
0.0000 0.0000 5.7188
ATOMIC_POSITIONS crystal
La 0.2500 0.2500 0.2500
La 0.7500 0.7500 0.7500
Dy 0.0943 0.8386 0.6189
Dy 0.1614 0.5943 0.1189
Dy 0.3386 0.9057 0.1189
Dy 0.4057 0.6614 0.6189
Dy 0.5943 0.3386 0.3811
Dy 0.6614 0.0943 0.8811
Dy 0.8386 0.4057 0.8811
Dy 0.9057 0.1614 0.3811
Ga 0.0123 0.1246 0.8742
Ga 0.1246 0.4877 0.6258
Ga 0.3754 0.0123 0.6258
Ga 0.4877 0.3754 0.8742
Ga 0.5123 0.6246 0.1258
Ga 0.6246 0.9877 0.3742
Ga 0.8754 0.5123 0.3742
Ga 0.9877 0.8754 0.1258



! La2Dy3Ga4 | Alexandria | PBE-GGA | relaxed; values from VASP
! Formation enthalpy at 0 K in eV/atom: -0.5773
! Distance to the lowest polymorph of the same formula in eV/atom: 0.000
! Final energy in eV per cell: -81.93
! Magnetic moment in μB/cell: 0.00
&SYSTEM
  ibrav = 0, nat = 18, ntyp = 3
/
ATOMIC_SPECIES
La 138.91 La.upf
Dy 162.50 Dy.upf
Ga 69.72 Ga.upf
CELL_PARAMETERS angstrom
8.0738 0.0000 0.0000
0.0000 8.0785 0.0000
-2.2258 0.0000 7.3654
ATOMIC_POSITIONS crystal
La 0.1912 0.1790 0.0743
La 0.1912 0.3210 0.5743
La 0.8088 0.6790 0.4257
La 0.8088 0.8210 0.9257
Dy 0.2423 0.6754 0.2511
Dy 0.2423 0.8246 0.7511
Dy 0.5000 0.0000 0.5000
Dy 0.5000 0.5000 0.0000
Dy 0.7577 0.1754 0.2489
Dy 0.7577 0.3246 0.7489
Ga 0.0797 0.5327 0.8712
Ga 0.0797 0.9673 0.3712
Ga 0.4966 0.1172 0.8777
Ga 0.4966 0.3828 0.3777
Ga 0.5034 0.6172 0.6223
Ga 0.5034 0.8828 0.1223
Ga 0.9203 0.0327 0.6288
Ga 0.9203 0.4673 0.1288



! LaDy2Ga | Alexandria | PBE-GGA | relaxed; values from VASP
! Formation enthalpy at 0 K in eV/atom: -0.1063
! Distance to the lowest polymorph of the same formula in eV/atom: 0.174
! Final energy in eV per cell: -52.75
! Magnetic moment in μB/cell: 0.00
&SYSTEM
  ibrav = 0, nat = 12, ntyp = 3
/
ATOMIC_SPECIES
La 138.91 La.upf
Dy 162.50 Dy.upf
Ga 69.72 Ga.upf
CELL_PARAMETERS angstrom
4.9338 0.0000 0.0000
-2.4669 4.2728 0.0000
0.0000 0.0000 17.4749
ATOMIC_POSITIONS crystal
La 0.0000 0.0000 0.0000
La 0.3333 0.6667 0.6667
La 0.6667 0.3333 0.3333
Dy 0.0000 0.0000 0.5565
Dy 0.0000 0.0000 0.7845
Dy 0.3333 0.6667 0.2232
Dy 0.3333 0.6667 0.4511
Dy 0.6667 0.3333 0.1178
Dy 0.6667 0.3333 0.8899
Ga 0.0000 0.0000 0.1934
Ga 0.3333 0.6667 0.8600
Ga 0.6667 0.3333 0.5267



! LaDy4Ga5 | Alexandria | PBE-GGA | relaxed; values from VASP
! Formation enthalpy at 0 K in eV/atom: -0.5832
! Final energy in eV per cell: -44.30
! Magnetic moment in μB/cell: 0.00
&SYSTEM
  ibrav = 0, nat = 10, ntyp = 3
/
ATOMIC_SPECIES
La 138.91 La.upf
Dy 162.50 Dy.upf
Ga 69.72 Ga.upf
CELL_PARAMETERS angstrom
3.6003 0.0000 0.0000
0.0000 3.6003 0.0000
0.0000 0.0000 18.1306
ATOMIC_POSITIONS crystal
La 0.0000 0.0000 0.0000
Dy 0.0000 0.0000 0.2076
Dy 0.0000 0.0000 0.4026
Dy 0.0000 0.0000 0.5974
Dy 0.0000 0.0000 0.7924
Ga 0.5000 0.5000 0.1124
Ga 0.5000 0.5000 0.3053
Ga 0.5000 0.5000 0.5000
Ga 0.5000 0.5000 0.6947
Ga 0.5000 0.5000 0.8876



! La2Dy3Ga4 | Alexandria | PBE-GGA | relaxed; values from VASP
! Formation enthalpy at 0 K in eV/atom: -0.4429
! Distance to the lowest polymorph of the same formula in eV/atom: 0.134
! Final energy in eV per cell: -79.51
! Magnetic moment in μB/cell: 0.00
&SYSTEM
  ibrav = 0, nat = 18, ntyp = 3
/
ATOMIC_SPECIES
La 138.91 La.upf
Dy 162.50 Dy.upf
Ga 69.72 Ga.upf
CELL_PARAMETERS angstrom
3.4817 -8.0493 0.0000
3.4817 8.0493 0.0000
0.0000 0.0000 8.6319
ATOMIC_POSITIONS crystal
La 0.1073 0.8927 0.9231
La 0.3927 0.6073 0.4231
La 0.6073 0.3927 0.5769
La 0.8927 0.1073 0.0769
Dy 0.0000 0.0000 0.5000
Dy 0.0330 0.4670 0.7500
Dy 0.4670 0.0330 0.2500
Dy 0.5000 0.5000 0.0000
Dy 0.5330 0.9670 0.7500
Dy 0.9670 0.5330 0.2500
Ga 0.1846 0.8154 0.5398
Ga 0.2141 0.2859 0.7500
Ga 0.2859 0.2141 0.2500
Ga 0.3154 0.6846 0.0398
Ga 0.6846 0.3154 0.9602
Ga 0.7141 0.7859 0.7500
Ga 0.7859 0.7141 0.2500
Ga 0.8154 0.1846 0.4602



! La3DyGa2 | Alexandria | PBE-GGA | relaxed; values from VASP
! Formation enthalpy at 0 K in eV/atom: -0.4111
! Final energy in eV per cell: -55.81
! Magnetic moment in μB/cell: 0.00
&SYSTEM
  ibrav = 0, nat = 12, ntyp = 3
/
ATOMIC_SPECIES
La 138.91 La.upf
Dy 162.50 Dy.upf
Ga 69.72 Ga.upf
CELL_PARAMETERS angstrom
5.2367 0.0000 0.0000
0.0000 9.8130 0.0000
0.0000 0.0000 6.7437
ATOMIC_POSITIONS crystal
La 0.0000 0.0542 0.0000
La 0.0000 0.3352 0.3221
La 0.0000 0.6648 0.8221
La 0.0000 0.9458 0.5000
La 0.5000 0.1735 0.7033
La 0.5000 0.8265 0.2033
Dy 0.5000 0.4416 0.0213
Dy 0.5000 0.5584 0.5213
Ga 0.0000 0.3522 0.8069
Ga 0.0000 0.6478 0.3069
Ga 0.5000 0.1531 0.2239
Ga 0.5000 0.8469 0.7239



! La2DyGa3 | Alexandria | PBE-GGA | relaxed; values from VASP
! Formation enthalpy at 0 K in eV/atom: -0.5785
! Final energy in eV per cell: -27.01
! Magnetic moment in μB/cell: 0.00
&SYSTEM
  ibrav = 0, nat = 6, ntyp = 3
/
ATOMIC_SPECIES
La 138.91 La.upf
Dy 162.50 Dy.upf
Ga 69.72 Ga.upf
CELL_PARAMETERS angstrom
3.6849 0.0000 0.0000
0.0000 3.6849 0.0000
0.0000 0.0000 11.2245
ATOMIC_POSITIONS crystal
La 0.0000 0.0000 0.1730
La 0.0000 0.0000 0.8270
Dy 0.0000 0.0000 0.5000
Ga 0.5000 0.5000 0.0000
Ga 0.5000 0.5000 0.3522
Ga 0.5000 0.5000 0.6478



! LaDy2Ga | Alexandria | PBE-GGA | relaxed; values from VASP
! Formation enthalpy at 0 K in eV/atom: -0.1961
! Distance to the lowest polymorph of the same formula in eV/atom: 0.084
! Final energy in eV per cell: -53.83
! Magnetic moment in μB/cell: 0.00
&SYSTEM
  ibrav = 0, nat = 12, ntyp = 3
/
ATOMIC_SPECIES
La 138.91 La.upf
Dy 162.50 Dy.upf
Ga 69.72 Ga.upf
CELL_PARAMETERS angstrom
3.6332 0.0000 0.0000
-1.8166 3.1465 0.0000
0.0000 0.0000 31.0158
ATOMIC_POSITIONS crystal
La 0.0000 0.0000 0.0000
La 0.3333 0.6667 0.6667
La 0.6667 0.3333 0.3333
Dy 0.0000 0.0000 0.2366
Dy 0.0000 0.0000 0.7634
Dy 0.3333 0.6667 0.4301
Dy 0.3333 0.6667 0.9033
Dy 0.6667 0.3333 0.0967
Dy 0.6667 0.3333 0.5699
Ga 0.0000 0.0000 0.5000
Ga 0.3333 0.6667 0.1667
Ga 0.6667 0.3333 0.8333